Entry 1:
Material: Na2NbO2
Method: DFT, GGA-PBEsol
State: optimized geometry

Summary:
V in A^3/atom: 12.6
Space-group type: I4/mmm, No. 139
Total magnetic moment in μB per atom: 0.559
D(E_F) in states/eV/f.u.: 1.8
Raw formation energy in kJ per mole of atoms: -13.9

a b c (Å): 4.1178 4.7169 4.1178
angles (deg): 64.12 90.00 115.88
Element x y z (fractional)
Na 0.6486 0.2973 0.3514
Na 0.3514 0.7027 0.6486
Nb 0.0000 0.0000 0.0000
O 0.7500 0.5000 0.7500
O 0.2500 0.5000 0.2500

Entry 2:
Material: CsHf3C
Method: DFT, GGA-PBEsol
State: optimized geometry

Summary:
V in A^3/atom: 27.2
Space-group type: Pm-3m, No. 221
ΔH_f (0 K) in meV/atom: 3624
Total magnetic moment in μB per atom: 0.000
D(E_F) in states/eV/f.u.: 8.2

a b c (Å): 5.1403 5.1403 5.1403
angles (deg): 90.00 90.00 90.00
Element x y z (fractional)
Cs 0.0000 0.0000 0.0000
C 0.5000 0.5000 0.5000
Hf 0.0000 0.5000 0.0000
Hf 0.0000 0.0000 0.5000
Hf 0.5000 0.0000 0.0000

Entry 3:
Material: K2NdPCO7
Method: DFT, GGA-PBEsol
State: optimized geometry

Summary:
V in A^3/atom: 16.9
Space-group type: P2_1/m, No. 11
Total magnetic moment in μB per atom: 0.003
D(E_F) in states/eV/f.u.: 0.0
Raw formation energy in kJ per mole of atoms: -227.9

a b c (Å): 5.5606 7.2613 10.0455
angles (deg): 90.00 91.16 90.00
Element x y z (fractional)
K 0.7380 0.0169 0.7912
K 0.7380 0.4831 0.7912
K 0.2620 0.5169 0.2088
K 0.2620 0.9831 0.2088
Nd 0.1968 0.7500 0.6096
Nd 0.8032 0.2500 0.3904
P 0.2936 0.2500 0.5698
P 0.7064 0.7500 0.4302
C 0.2486 0.7500 0.8921
C 0.7514 0.2500 0.1079
O 0.7148 0.2500 0.9840
O 0.0350 0.7500 0.8356
O 0.4278 0.7500 0.8072
O 0.1842 0.0747 0.6323
O 0.1842 0.4253 0.6323
O 0.7700 0.7500 0.5826
O 0.5723 0.2500 0.5871
O 0.4277 0.7500 0.4129
O 0.2300 0.2500 0.4174
O 0.8158 0.5747 0.3677
O 0.8158 0.9253 0.3677
O 0.5722 0.2500 0.1928
O 0.9650 0.2500 0.1644
O 0.2852 0.7500 0.0160

Entry 4:
Material: SiRu2W
Method: DFT, GGA-PBEsol
State: optimized geometry

Summary:
V in A^3/atom: 13.7
Space-group type: R3m, No. 160
Total magnetic moment in μB per atom: 0.000
D(E_F) in states/eV/f.u.: 2.7
Raw formation energy in kJ per mole of atoms: -3.1

a b c (Å): 2.7446 2.7446 8.5721
angles (deg): 80.79 80.79 60.00
Element x y z (fractional)
Ru 0.0009 0.0009 0.9973
Ru 0.7542 0.7542 0.7373
Si 0.4963 0.4963 0.5111
W 0.2486 0.2486 0.2543

Entry 5:
Material: MnInSb
Method: DFT, GGA-PBEsol
State: optimized geometry

Summary:
V in A^3/atom: 20.8
Space-group type: Imm2, No. 44
Total magnetic moment in μB per atom: 1.004
D(E_F) in states/eV/f.u.: 1.9
Raw formation energy in kJ per mole of atoms: 23.6

a b c (Å): 3.0377 3.4482 6.3800
angles (deg): 105.68 103.77 90.00
Element x y z (fractional)
In 0.0268 0.0268 0.0537
Mn 0.6719 0.6719 0.3437
Sb 0.3013 0.3013 0.6026

Entry 6:
Material: KCo2Ni
Method: DFT, GGA-PBEsol
State: optimized geometry

Summary:
V in A^3/atom: 13.9
Space-group type: P2/m, No. 10
ΔH_f (0 K) in meV/atom: 1141
Total magnetic moment in μB per atom: 0.880
D(E_F) in states/eV/f.u.: 6.3
Excess energy over the best structure of this formula in the dataset in eV per atom: 0.403

a b c (Å): 2.5124 4.7569 4.9589
angles (deg): 110.67 90.00 90.00
Element x y z (fractional)
Co 0.0000 0.0000 0.0000
Co 0.5000 0.5000 0.0000
K 0.5000 0.0000 0.5000
Ni 0.0000 0.5000 0.5000